Record 1
PmPrSbPd | Alexandria via LeMat-Bulk | GGA-PBE | relaxed; space group = No. 216; uncorrected energy = -5.490 eV/atom; energy relative to the elements, uncorrected = -0.78 eV per atom
1.0
5.3200 0.0000 0.0000
2.6600 4.6073 0.0000
2.6600 1.5358 4.3438
Pr Sb Pd Pm
1 1 1 1
Direct
0.2500 0.2500 0.2500
0.0000 0.0000 0.0000
0.5000 0.5000 0.5000
0.7500 0.7500 0.7500

Record 2
NdGeIN2 | Alexandria via LeMat-Bulk | GGA-PBE | relaxed; space group = No. 11; uncorrected energy = -6.126 eV/atom; energy relative to the elements, uncorrected = -0.61 eV per atom
1.0
4.1453 0.0000 0.0000
0.0000 7.6901 -0.8266
0.0000 -2.6182 7.1700
Nd Ge I N
2 2 2 4
Direct
0.2500 0.6672 0.9499
0.7500 0.3328 0.0501
0.2500 0.5681 0.4096
0.7500 0.4319 0.5904
0.2500 0.9858 0.7431
0.7500 0.0142 0.2569
0.7500 0.5551 0.4267
0.2500 0.4449 0.5733
0.7500 0.4989 0.8525
0.2500 0.5011 0.1475

Record 3
GaNi2HPt | Alexandria via LeMat-Bulk | GGA-PBE | relaxed; space group = No. 123; uncorrected energy = -5.019 eV/atom
1.0
3.6429 0.0000 0.0000
0.0000 3.6429 0.0000
0.0000 0.0000 4.0555
Ni Ga Pt H
2 1 1 1
Direct
0.0000 0.5000 0.0000
0.5000 0.0000 0.0000
0.0000 0.0000 0.5000
0.5000 0.5000 0.5000
0.0000 0.0000 0.0000

Record 4
BP2O | Alexandria via LeMat-Bulk | GGA-PBE | relaxed; space group = No. 122; uncorrected energy = -5.407 eV/atom; energy relative to the elements, uncorrected = 0.21 eV per atom
1.0
-2.5578 -3.3359 2.3962
1.1371 -3.2876 -3.3631
2.8575 -4.4098 1.7963
P B O
4 2 2
Direct
0.5910 0.1250 0.2500
0.1590 0.6250 0.2500
0.3750 0.4090 0.7500
0.8750 0.8410 0.7500
0.5000 0.5000 0.0000
0.2500 0.7500 0.5000
0.0000 0.0000 0.0000
0.7500 0.2500 0.5000

Record 5
Zr4NbC4 | Alexandria via LeMat-Bulk | GGA-PBE | relaxed; space group = No. 87; uncorrected energy = -9.711 eV/atom
1.0
-2.0049 1.3172 4.0807
-5.7139 -0.0327 -0.0513
-0.9893 -4.2885 3.6437
Zr Nb C
4 1 4
Direct
0.6081 0.5837 0.2001
0.3919 0.4163 0.7999
0.1916 0.2003 0.4164
0.8084 0.7997 0.5836
0.0000 0.0000 0.0000
0.9056 0.3869 0.8018
0.0944 0.6131 0.1982
0.2925 0.8019 0.6131
0.7075 0.1981 0.3869

Record 6
MgBe3B | Alexandria via LeMat-Bulk | GGA-PBE | relaxed; space group = No. 221; uncorrected energy = -1.602 eV/atom
1.0
-3.5346 2.4161 1.1689
0.9193 -0.7261 4.2807
2.5216 3.6513 0.0778
Be Mg B
3 1 1
Direct
0.0000 0.5000 0.0000
0.0000 0.0000 0.5000
0.5000 0.0000 0.0000
0.0000 0.0000 0.0000
0.5000 0.5000 0.5000

Record 7
Nd6Y2Er3 | Alexandria via LeMat-Bulk | GGA-PBE | relaxed; space group = No. 2; uncorrected energy = -5.004 eV/atom
1.0
-4.6673 1.7041 -3.8036
-1.1498 -8.0017 -0.4594
-12.5464 -8.0013 -0.1752
Nd Y Er
6 2 3
Direct
0.0934 0.6372 0.7272
0.7281 0.0913 0.8182
0.9066 0.3628 0.2728
0.2719 0.9087 0.1818
0.8182 0.7236 0.5456
0.1819 0.2764 0.4544
0.6394 0.4575 0.0892
0.3606 0.5425 0.9108
0.0000 0.0000 0.0000
0.5484 0.8200 0.3618
0.4516 0.1800 0.6382

Record 8
NaZn2Cd2Au | Alexandria via LeMat-Bulk | GGA-PBE | relaxed; space group = No. 123; uncorrected energy = -1.518 eV/atom
1.0
4.9518 0.0000 0.0000
0.0000 4.9518 0.0000
0.0000 0.0000 5.9939
Na Zn Cd Au
1 2 2 1
Direct
0.0000 0.0000 0.5000
0.5000 0.0000 0.0000
0.0000 0.5000 0.0000
0.5000 0.5000 0.7337
0.5000 0.5000 0.2663
0.0000 0.0000 0.0000